## CsNdEr (PBE-GGA)

Data for a geometry-optimized CsNdEr structure.

## Properties
Space-group type ... F-43m
M_tot ... 3.2 μB/cell
E ... -2.1836 eV per atom

abc: 6.115 6.115 6.115
angles: 60.00 60.00 60.00
Fractional positions:
Cs 0.000 0.000 0.000
Nd 0.500 0.500 0.500
Er 0.250 0.250 0.250